# La2Ce2Ge4Ir (PBE, relaxed)
# Formation enthalpy at 0 K, eV per atom: -0.574
data_La2Ce2Ge4Ir
_symmetry_space_group_name_H-M 'I 4/m m m'
_symmetry_Int_Tables_number 139
_symmetry_space_group_name_Hall '-I 4 2'
_cell_length_a 7.342
_cell_length_b 7.342
_cell_length_c 8.210
_cell_angle_alpha 90.00
_cell_angle_beta 90.00
_cell_angle_gamma 90.00
loop_
_atom_site_label
_atom_site_fract_x
_atom_site_fract_y
_atom_site_fract_z
La1 0.000 0.500 0.250
Ce1 0.000 0.000 0.170
Ge1 0.242 0.242 0.500
Ir1 0.000 0.000 0.500


# KRuCl2 (PBE, relaxed)
# Polymorph energy (0 for the lowest one), eV per formula unit: 0.632
# ΔE_f (raw), eV/atom: -0.321
data_KRuCl2
_symmetry_space_group_name_H-M 'R -3 m'
_symmetry_Int_Tables_number 166
_symmetry_space_group_name_Hall '-R 3 2"'
_cell_length_a 4.3308
_cell_length_b 4.3308
_cell_length_c 24.7464
_cell_angle_alpha 90.00
_cell_angle_beta 90.00
_cell_angle_gamma 120.00
loop_
_atom_site_label
_atom_site_fract_x
_atom_site_fract_y
_atom_site_fract_z
K1 0.0000 0.0000 0.0000
Ru1 0.0000 0.0000 0.5000
Cl1 0.0000 0.0000 0.4057


# Pm5ZrPb4 (PBE, relaxed)
# Formation enthalpy at 0 K, eV per atom: -0.157
data_Pm5ZrPb4
_symmetry_space_group_name_H-M 'C 1 2/m 1'
_symmetry_Int_Tables_number 12
_cell_length_a 19.487
_cell_length_b 4.087
_cell_length_c 8.923
_cell_angle_alpha 90.00
_cell_angle_beta 107.32
_cell_angle_gamma 90.00
loop_
_symmetry_equiv_pos_as_xyz
'x,y,z'
'-x,-y,-z'
'-x,y,-z'
'x,-y,z'
'x+1/2,y+1/2,z'
'-x+1/2,-y+1/2,-z'
'-x+1/2,y+1/2,-z'
'x+1/2,-y+1/2,z'
loop_
_atom_site_label
_atom_site_fract_x
_atom_site_fract_y
_atom_site_fract_z
Pm1 0.000 0.000 0.000
Pm2 0.168 0.500 0.312
Pm3 0.171 0.500 0.875
Zr1 0.000 0.000 0.500
Pb1 0.002 0.500 0.738
Pb2 0.163 0.000 0.591